(1)
# PdSe3S

Crystalline PdSe3S at its relaxed geometry (GGA-PBE, Alexandria).

Lattice parameters (Å, degrees): 5.8319 6.7709 7.3836 80.31 68.55 66.95
Fractional coordinates of all 10 atoms:
Pd (0.0000, 0.0000, 0.0000)
Pd (0.5000, 0.0000, 0.5000)
Se (0.0304, 0.7973, 0.7276)
Se (0.0924, 0.2583, 0.7165)
Se (0.4179, 0.1761, 0.1943)
Se (0.5821, 0.8239, 0.8057)
Se (0.9076, 0.7417, 0.2835)
Se (0.9696, 0.2027, 0.2724)
S (0.2831, 0.4476, 0.7879)
S (0.7169, 0.5524, 0.2121)

Computed properties:
calculated volume	25.0	Å³/atom
ρ	5.0	g cm⁻³
space-group type	P-1, No. 2
size of the total moment	0.0	μB/cell
E_form (uncorrected)	-0.03	eV per atom

(2)
# Pd4Se2S

Crystalline Pd4Se2S at its relaxed geometry (GGA-PBE, Alexandria).

Lattice parameters (Å, degrees): 7.1615 7.1615 7.1615 142.25 142.25 54.45
Fractional coordinates of all 7 atoms:
Pd (0.0000, 0.5000, 0.5000)
Pd (0.1795, 0.1795, 0.0000)
Pd (0.5000, 0.0000, 0.5000)
Pd (0.8205, 0.8205, 0.0000)
Se (0.3708, 0.3708, 0.0000)
Se (0.6292, 0.6292, 0.0000)
S (0.0000, 0.0000, 0.0000)

Computed properties:
calculated volume	19.5	Å³/atom
ρ	7.5	g cm⁻³
space-group type	I4/mmm, No. 139
size of the total moment	0.0	μB/cell
E_form (uncorrected)	0.05	eV per atom

(3)
# Pd3SeS

Crystalline Pd3SeS at its relaxed geometry (GGA-PBE, Alexandria).

Lattice parameters (Å, degrees): 9.4831 9.4831 5.0492 90.00 90.00 147.07
Fractional coordinates of all 10 atoms:
Pd (0.0000, 0.0000, 0.0000)
Pd (0.0000, 0.0000, 0.5000)
Pd (0.0513, 0.4630, 0.7500)
Pd (0.4630, 0.0513, 0.2500)
Pd (0.5370, 0.9487, 0.7500)
Pd (0.9487, 0.5370, 0.2500)
Se (0.3178, 0.6822, 0.2500)
Se (0.6822, 0.3178, 0.7500)
S (0.1024, 0.8976, 0.2500)
S (0.8976, 0.1024, 0.7500)

Computed properties:
calculated volume	24.7	Å³/atom
ρ	5.8	g cm⁻³
space-group type	Cmcm, No. 63
size of the total moment	0.0	μB/cell
E_form (uncorrected)	0.07	eV per atom

(4)
# PdSe2S6

Crystalline PdSe2S6 at its relaxed geometry (GGA-PBE, Alexandria).

Lattice parameters (Å, degrees): 5.7459 6.2087 6.9452 104.52 95.88 95.26
Fractional coordinates of all 9 atoms:
Pd (0.0000, 0.0000, 0.0000)
Se (0.3984, 0.1240, 0.9275)
Se (0.6016, 0.8760, 0.0725)
S (0.0773, 0.2436, 0.3186)
S (0.0830, 0.5609, 0.2631)
S (0.2318, 0.7887, 0.5427)
S (0.7682, 0.2113, 0.4573)
S (0.9170, 0.4391, 0.7369)
S (0.9227, 0.7564, 0.6814)

Computed properties:
calculated volume	26.3	Å³/atom
ρ	3.2	g cm⁻³
space-group type	P-1, No. 2
size of the total moment	0.0	μB/cell
E_form (uncorrected)	0.05	eV per atom